# 1
## Rb4CdAu (PBE-GGA)

Data for Rb4CdAu after structural relaxation.

Output
The value obtained for the volume is 4944.90 Å³/cell. The value obtained for the distance to the lowest polymorph of the same formula is 0.00 eV per formula unit. Its total energy is -1.440 eV per atom. The energy of formation from the pure elements is -0.6 eV per formula unit. The density of states at the Fermi level comes out at 74.8 states/eV/cell. For the density, the calculation gives 3.50 g/cm3.

Cell and atoms, written as CIF:
```
data_Rb4CdAu
_chemical_formula_sum 'Rb64 Cd16 Au16'
_space_group_name_H-M_alt 'F -4 3 m'
_space_group_IT_number 216
_space_group_name_Hall 'F -4 2 3'
_cell_length_a 17.037
_cell_length_b 17.037
_cell_length_c 17.037
_cell_angle_alpha 90.00
_cell_angle_beta 90.00
_cell_angle_gamma 90.00
loop_
_atom_site_label
_atom_site_fract_x
_atom_site_fract_y
_atom_site_fract_z
Rb1 0.000 0.000 0.197
Rb2 0.051 0.250 0.250
Rb3 0.100 0.100 0.600
Cd1 0.180 0.180 0.820
Au1 0.108 0.108 0.392
```



# 2
## CePr4 (PBE-GGA)

Data for CePr4 after structural relaxation.

Output
The value obtained for the volume is 188.84 Å³/cell. The value obtained for the distance to the lowest polymorph of the same formula is 1.75 eV per formula unit. Its total energy is -4.521 eV per atom. The energy of formation from the pure elements is 2.4 eV per formula unit. The density of states at the Fermi level comes out at 13.6 states/eV/cell. For the density, the calculation gives 6.19 g/cm3.

Cell and atoms, written as CIF:
```
data_CePr4
_chemical_formula_sum 'Ce1 Pr4'
_space_group_name_H-M_alt 'P m -3 m'
_space_group_IT_number 221
_space_group_name_Hall '-P 4 2 3'
_cell_length_a 5.737
_cell_length_b 5.737
_cell_length_c 5.737
_cell_angle_alpha 90.00
_cell_angle_beta 90.00
_cell_angle_gamma 90.00
loop_
_atom_site_label
_atom_site_fract_x
_atom_site_fract_y
_atom_site_fract_z
Ce1 0.000 0.000 0.000
Pr1 0.000 0.000 0.500
Pr2 0.500 0.500 0.500
```